# 1
A relaxed Pm5Nd4Mg crystal, computed with PBE.

CIF file:
```
data_Pm5Nd4Mg
_chemical_formula_sum 'Pm5 Nd4 Mg1'
_cell_length_a 4.2515
_cell_length_b 4.2515
_cell_length_c 18.6203
_cell_angle_alpha 90.00
_cell_angle_beta 90.00
_cell_angle_gamma 90.00
_space_group_name_H-M_alt 'P 4/m m m'
_space_group_IT_number 123
_space_group_name_Hall '-P 4 2'
loop_
_atom_site_label
_atom_site_type_symbol
_atom_site_fract_x
_atom_site_fract_y
_atom_site_fract_z
_atom_site_occupancy
Pm1 Pm 0.0000 0.0000 0.0000 1
Pm2 Pm 0.0000 0.0000 0.2037 1
Pm3 Pm 0.0000 0.0000 0.4070 1
Nd1 Nd 0.5000 0.5000 0.1012 1
Nd2 Nd 0.5000 0.5000 0.2980 1
Mg1 Mg 0.5000 0.5000 0.5000 1
```

Computed properties:
formation energy	8.2	kJ per mole of atoms
mass density	6.544	g cm⁻³

---

# 2
A relaxed Nd2LuNb crystal, computed with PBE.

CIF file:
```
data_Nd2LuNb
_chemical_formula_sum 'Nd6 Lu3 Nb3'
_cell_length_a 3.3432
_cell_length_b 3.3432
_cell_length_c 35.0732
_cell_angle_alpha 90.00
_cell_angle_beta 90.00
_cell_angle_gamma 120.00
_space_group_name_H-M_alt 'R -3 m'
_space_group_IT_number 166
_space_group_name_Hall '-R 3 2"'
loop_
_atom_site_label
_atom_site_type_symbol
_atom_site_fract_x
_atom_site_fract_y
_atom_site_fract_z
_atom_site_occupancy
Nd1 Nd 0.0000 0.0000 0.0833 1
Lu1 Lu 0.0000 0.0000 0.5000 1
Nb1 Nb 0.0000 0.0000 0.0000 1
```

Computed properties:
formation energy	54.2	kJ per mole of atoms
mass density	8.164	g cm⁻³

---

# 3
A relaxed CrPt2S6 crystal, computed with PBE.

CIF file:
```
data_CrPt2S6
_chemical_formula_sum 'Cr2 Pt4 S12'
_cell_length_a 11.4890
_cell_length_b 3.5414
_cell_length_c 10.0880
_cell_angle_alpha 90.00
_cell_angle_beta 117.02
_cell_angle_gamma 90.00
_space_group_name_H-M_alt 'C 1 2/m 1'
_space_group_IT_number 12
loop_
_space_group_symop_operation_xyz
'x,y,z'
'-x,-y,-z'
'-x,y,-z'
'x,-y,z'
'x+1/2,y+1/2,z'
'-x+1/2,-y+1/2,-z'
'-x+1/2,y+1/2,-z'
'x+1/2,-y+1/2,z'
loop_
_atom_site_label
_atom_site_type_symbol
_atom_site_fract_x
_atom_site_fract_y
_atom_site_fract_z
_atom_site_occupancy
Cr1 Cr 0.0000 0.0000 0.0000 1
Pt1 Pt 0.1641 0.5000 0.3294 1
S1 S 0.0060 0.0000 0.2391 1
S2 S 0.1565 0.5000 0.0874 1
S3 S 0.1787 0.5000 0.5749 1
```

Computed properties:
mass density	5.763	g cm⁻³
energy relative to the elements, uncorrected	-324	kJ/mol of formula units

---

# 4
A relaxed LaSnPtS2 crystal, computed with PBE.

CIF file:
```
data_LaSnPtS2
_chemical_formula_sum 'La1 Sn1 Pt1 S2'
_cell_length_a 5.4536
_cell_length_b 5.4536
_cell_length_c 5.2671
_cell_angle_alpha 90.00
_cell_angle_beta 90.00
_cell_angle_gamma 90.00
_space_group_name_H-M_alt 'P 4/m m m'
_space_group_IT_number 123
_space_group_name_Hall '-P 4 2'
loop_
_atom_site_label
_atom_site_type_symbol
_atom_site_fract_x
_atom_site_fract_y
_atom_site_fract_z
_atom_site_occupancy
La1 La 0.0000 0.0000 0.0000 1
Sn1 Sn 0.5000 0.5000 0.5000 1
Pt1 Pt 0.0000 0.0000 0.5000 1
S1 S 0.0000 0.5000 0.0000 1
```

Computed properties:
mass density	5.478	g cm⁻³
energy relative to the elements, uncorrected	-36	kJ/mol of formula units

---

# 5
A relaxed BaSrMoN3 crystal, computed with PBE.

CIF file:
```
data_BaSrMoN3
_chemical_formula_sum 'Ba4 Sr4 Mo4 N12'
_cell_length_a 13.8991
_cell_length_b 4.0196
_cell_length_c 8.1880
_cell_angle_alpha 90.00
_cell_angle_beta 107.48
_cell_angle_gamma 90.00
_space_group_name_H-M_alt 'C 1 2/m 1'
_space_group_IT_number 12
loop_
_space_group_symop_operation_xyz
'x,y,z'
'-x,-y,-z'
'-x,y,-z'
'x,-y,z'
'x+1/2,y+1/2,z'
'-x+1/2,-y+1/2,-z'
'-x+1/2,y+1/2,-z'
'x+1/2,-y+1/2,z'
loop_
_atom_site_label
_atom_site_type_symbol
_atom_site_fract_x
_atom_site_fract_y
_atom_site_fract_z
_atom_site_occupancy
Ba1 Ba 0.1428 0.0000 0.0664 1
Sr1 Sr 0.1641 0.0000 0.5866 1
Mo1 Mo 0.9997 0.5000 0.3131 1
N1 N 0.9997 0.0000 0.3309 1
N2 N 0.1379 0.5000 0.3095 1
N3 N 0.1412 0.5000 0.8240 1
```

Computed properties:
mass density	5.525	g cm⁻³
energy relative to the elements, uncorrected	-315	kJ/mol of formula units

---

# 6
A relaxed TeIr crystal, computed with PBE.

CIF file:
```
data_TeIr
_chemical_formula_sum 'Te6 Ir6'
_cell_length_a 4.9080
_cell_length_b 4.9080
_cell_length_c 11.3803
_cell_angle_alpha 90.00
_cell_angle_beta 90.00
_cell_angle_gamma 120.00
_space_group_name_H-M_alt 'R -3 m'
_space_group_IT_number 166
_space_group_name_Hall '-R 3 2"'
loop_
_atom_site_label
_atom_site_type_symbol
_atom_site_fract_x
_atom_site_fract_y
_atom_site_fract_z
_atom_site_occupancy
Te1 Te 0.0000 0.0000 0.1340 1
Ir1 Ir 0.0000 0.0000 0.3723 1
```

Computed properties:
mass density	13.422	g cm⁻³
energy relative to the elements, uncorrected	178	kJ/mol of formula units

---

# 7
A relaxed Dy5Tl2Rh crystal, computed with PBE.

CIF file:
```
data_Dy5Tl2Rh
_chemical_formula_sum 'Dy20 Tl8 Rh4'
_cell_length_a 5.4278
_cell_length_b 16.4913
_cell_length_c 12.4417
_cell_angle_alpha 90.00
_cell_angle_beta 90.00
_cell_angle_gamma 90.00
_space_group_name_H-M_alt 'C m c m'
_space_group_IT_number 63
_space_group_name_Hall '-C 2c 2'
loop_
_atom_site_label
_atom_site_type_symbol
_atom_site_fract_x
_atom_site_fract_y
_atom_site_fract_z
_atom_site_occupancy
Dy1 Dy 0.0000 0.0761 0.1017 1
Dy2 Dy 0.0000 0.2920 0.7500 1
Dy3 Dy 0.0000 0.2988 0.0720 1
Tl1 Tl 0.0000 0.1144 0.6321 1
Rh1 Rh 0.0000 0.1937 0.2500 1
```

Computed properties:
formation energy	-6.4	kJ per mole of atoms
mass density	7.898	g cm⁻³

---

# 8
A relaxed Pm3Dy2Y3 crystal, computed with PBE.

CIF file:
```
data_Pm3Dy2Y3
_chemical_formula_sum 'Pm6 Dy4 Y6'
_cell_length_a 5.0817
_cell_length_b 5.0835
_cell_length_c 20.3315
_cell_angle_alpha 90.00
_cell_angle_beta 90.00
_cell_angle_gamma 90.00
_space_group_name_H-M_alt 'I m m m'
_space_group_IT_number 71
_space_group_name_Hall '-I 2 2'
loop_
_atom_site_label
_atom_site_type_symbol
_atom_site_fract_x
_atom_site_fract_y
_atom_site_fract_z
_atom_site_occupancy
Pm1 Pm 0.0000 0.0000 0.0000 1
Pm2 Pm 0.0000 0.5000 0.1257 1
Dy1 Dy 0.0000 0.0000 0.2495 1
Y1 Y 0.0000 0.0000 0.5000 1
Y2 Y 0.0000 0.5000 0.3735 1
```

Computed properties:
formation energy	1.9	kJ per mole of atoms
mass density	6.492	g cm⁻³

---

M_tot? In order: 0.002 0.000 2.227 0.000 0.000 0.000 0.000 0.000 μB per formula unit.